VASP calculation (PBE-GGA) on La2ThAl after structural relaxation.

The structure in CIF format:
```
data_La2ThAl
_chemical_formula_sum 'La8 Th4 Al4'
_space_group_name_H-M_alt 'F m -3 m'
_space_group_IT_number 225
_space_group_name_Hall '-F 4 2 3'
_cell_length_a 7.8712
_cell_length_b 7.8712
_cell_length_c 7.8712
_cell_angle_alpha 90.00
_cell_angle_beta 90.00
_cell_angle_gamma 90.00
loop_
_atom_site_label
_atom_site_type_symbol
_atom_site_fract_x
_atom_site_fract_y
_atom_site_fract_z
La1 La 0.2500 0.2500 0.2500
Th1 Th 0.0000 0.0000 0.0000
Al1 Al 0.0000 0.0000 0.5000
```

Calculated values
- distance to the lowest polymorph of the same formula (eV per formula unit) = 0.83
- E_form (meV/atom) = 64

---

VASP calculation (PBE-GGA) on Ba2CaMg2 after structural relaxation.

The structure in CIF format:
```
data_Ba2CaMg2
_chemical_formula_sum 'Ba4 Ca2 Mg4'
_space_group_name_H-M_alt 'I 4/m m m'
_space_group_IT_number 139
_space_group_name_Hall '-I 4 2'
_cell_length_a 4.3391
_cell_length_b 4.3391
_cell_length_c 24.3372
_cell_angle_alpha 90.00
_cell_angle_beta 90.00
_cell_angle_gamma 90.00
loop_
_atom_site_label
_atom_site_type_symbol
_atom_site_fract_x
_atom_site_fract_y
_atom_site_fract_z
Ba1 Ba 0.0000 0.0000 0.1226
Ca1 Ca 0.0000 0.0000 0.5000
Mg1 Mg 0.0000 0.5000 0.2500
```

Calculated values
- distance to the lowest polymorph of the same formula (eV per formula unit) = 0.70
- E_form (meV/atom) = 132

---

VASP calculation (PBE-GGA) on LiSnB after structural relaxation.

The structure in CIF format:
```
data_LiSnB
_chemical_formula_sum 'Li4 Sn4 B4'
_space_group_name_H-M_alt 'P 1 21/c 1'
_space_group_IT_number 14
_space_group_name_Hall '-P 2ybc'
_cell_length_a 6.0651
_cell_length_b 6.2637
_cell_length_c 5.9987
_cell_angle_alpha 90.00
_cell_angle_beta 116.92
_cell_angle_gamma 90.00
loop_
_atom_site_label
_atom_site_type_symbol
_atom_site_fract_x
_atom_site_fract_y
_atom_site_fract_z
Li1 Li 0.1888 0.1714 0.1023
Sn1 Sn 0.3069 0.7261 0.3687
B1 B 0.0278 0.5150 0.8833
```

Calculated values
- distance to the lowest polymorph of the same formula (eV per formula unit) = 0.88
- E_form (meV/atom) = 203

---

VASP calculation (PBE-GGA) on ThAl3Cu3 after structural relaxation.

The structure in CIF format:
```
data_ThAl3Cu3
_chemical_formula_sum 'Th6 Al18 Cu18'
_space_group_name_H-M_alt 'R -3 m'
_space_group_IT_number 166
_space_group_name_Hall '-R 3 2"'
_cell_length_a 7.0520
_cell_length_b 7.0520
_cell_length_c 16.5199
_cell_angle_alpha 90.00
_cell_angle_beta 90.00
_cell_angle_gamma 120.00
loop_
_atom_site_label
_atom_site_type_symbol
_atom_site_fract_x
_atom_site_fract_y
_atom_site_fract_z
Th1 Th 0.0000 0.0000 0.1296
Al1 Al 0.0786 0.5393 0.3568
Cu1 Cu 0.0857 0.5429 0.1040
```

Calculated values
- distance to the lowest polymorph of the same formula (eV per formula unit) = 0.00
- E_form (meV/atom) = -274

---

VASP calculation (PBE-GGA) on Fe2TcH after structural relaxation.

The structure in CIF format:
```
data_Fe2TcH
_chemical_formula_sum 'Fe6 Tc3 H3'
_space_group_name_H-M_alt 'R -3 m'
_space_group_IT_number 166
_space_group_name_Hall '-R 3 2"'
_cell_length_a 2.6509
_cell_length_b 2.6509
_cell_length_c 19.3948
_cell_angle_alpha 90.00
_cell_angle_beta 90.00
_cell_angle_gamma 120.00
loop_
_atom_site_label
_atom_site_type_symbol
_atom_site_fract_x
_atom_site_fract_y
_atom_site_fract_z
Fe1 Fe 0.0000 0.0000 0.2239
Tc1 Tc 0.0000 0.0000 0.0000
H1 H 0.0000 0.0000 0.5000
```

Calculated values
- distance to the lowest polymorph of the same formula (eV per formula unit) = 0.00

---

VASP calculation (PBE-GGA) on Ba4C3 after structural relaxation.

The structure in CIF format:
```
data_Ba4C3
_chemical_formula_sum 'Ba8 C6'
_space_group_name_H-M_alt 'I 4/m m m'
_space_group_IT_number 139
_space_group_name_Hall '-I 4 2'
_cell_length_a 3.9595
_cell_length_b 3.9595
_cell_length_c 25.8408
_cell_angle_alpha 90.00
_cell_angle_beta 90.00
_cell_angle_gamma 90.00
loop_
_atom_site_label
_atom_site_type_symbol
_atom_site_fract_x
_atom_site_fract_y
_atom_site_fract_z
Ba1 Ba 0.0000 0.0000 0.0630
Ba2 Ba 0.0000 0.0000 0.3080
C1 C 0.0000 0.0000 0.1723
C2 C 0.0000 0.0000 0.5000
```

Calculated values
- distance to the lowest polymorph of the same formula (eV per formula unit) = 0.00
- E_form (meV/atom) = 1091

---

VASP calculation (PBE-GGA) on ScNiSbRh after structural relaxation.

The structure in CIF format:
```
data_ScNiSbRh
_chemical_formula_sum 'Sc4 Ni4 Sb4 Rh4'
_space_group_name_H-M_alt 'F -4 3 m'
_space_group_IT_number 216
_space_group_name_Hall 'F -4 2 3'
_cell_length_a 6.3854
_cell_length_b 6.3854
_cell_length_c 6.3854
_cell_angle_alpha 90.00
_cell_angle_beta 90.00
_cell_angle_gamma 90.00
loop_
_atom_site_label
_atom_site_type_symbol
_atom_site_fract_x
_atom_site_fract_y
_atom_site_fract_z
Sc1 Sc 0.0000 0.0000 0.0000
Ni1 Ni 0.2500 0.2500 0.7500
Sb1 Sb 0.0000 0.0000 0.5000
Rh1 Rh 0.2500 0.2500 0.2500
```

---

VASP calculation (PBE-GGA) on Ac8Nd6Y after structural relaxation.

The structure in CIF format:
```
data_Ac8Nd6Y
_chemical_formula_sum 'Ac24 Nd18 Y3'
_space_group_name_H-M_alt 'R -3'
_space_group_IT_number 148
_space_group_name_Hall '-R 3'
_cell_length_a 10.1821
_cell_length_b 10.1821
_cell_length_c 21.5076
_cell_angle_alpha 90.00
_cell_angle_beta 90.00
_cell_angle_gamma 120.00
loop_
_atom_site_label
_atom_site_type_symbol
_atom_site_fract_x
_atom_site_fract_y
_atom_site_fract_z
Ac1 Ac 0.0000 0.0000 0.2325
Ac2 Ac 0.0128 0.2996 0.6236
Nd1 Nd 0.9999 0.3086 0.1290
Y1 Y 0.0000 0.0000 0.5000
```

Calculated values
- E_form (meV/atom) = 228

---

VASP calculation (PBE-GGA) on TlH3Rh after structural relaxation.

The structure in CIF format:
```
data_TlH3Rh
_chemical_formula_sum 'Tl4 H12 Rh4'
_space_group_name_H-M_alt 'C 1 2/m 1'
_space_group_IT_number 12
_space_group_name_Hall '-C 2y'
_cell_length_a 9.8980
_cell_length_b 5.5175
_cell_length_c 5.3054
_cell_angle_alpha 90.00
_cell_angle_beta 116.62
_cell_angle_gamma 90.00
loop_
_atom_site_label
_atom_site_type_symbol
_atom_site_fract_x
_atom_site_fract_y
_atom_site_fract_z
Tl1 Tl 0.1192 0.0000 0.3507
H1 H 0.1472 0.2900 0.8230
H2 H 0.1573 0.5000 0.1852
Rh1 Rh 0.2236 0.0000 0.9403
```

Calculated values
- distance to the lowest polymorph of the same formula (eV per formula unit) = 0.01

---

VASP calculation (PBE-GGA) on Rb3Pt5I12 after structural relaxation.

The structure in CIF format:
```
data_Rb3Pt5I12
_chemical_formula_sum 'Rb24 Pt40 I96'
_space_group_name_H-M_alt 'I a -3 d'
_space_group_IT_number 230
_space_group_name_Hall '-I 4bd 2c 3'
_cell_length_a 18.2729
_cell_length_b 18.2729
_cell_length_c 18.2729
_cell_angle_alpha 90.00
_cell_angle_beta 90.00
_cell_angle_gamma 90.00
loop_
_atom_site_label
_atom_site_type_symbol
_atom_site_fract_x
_atom_site_fract_y
_atom_site_fract_z
Rb1 Rb 0.0000 0.2500 0.1250
Pt1 Pt 0.0000 0.0000 0.0000
Pt2 Pt 0.0000 0.2500 0.3750
I1 I 0.0358 0.0449 0.6419
```

---

VASP calculation (PBE-GGA) on Nd3SmAg2 after structural relaxation.

The structure in CIF format:
```
data_Nd3SmAg2
_chemical_formula_sum 'Nd12 Sm4 Ag8'
_space_group_name_H-M_alt 'I b a m'
_space_group_IT_number 72
_space_group_name_Hall '-I 2 2c'
_cell_length_a 7.1297
_cell_length_b 14.4236
_cell_length_c 7.7276
_cell_angle_alpha 90.00
_cell_angle_beta 90.00
_cell_angle_gamma 90.00
loop_
_atom_site_label
_atom_site_type_symbol
_atom_site_fract_x
_atom_site_fract_y
_atom_site_fract_z
Nd1 Nd 0.0000 0.0000 0.2500
Nd2 Nd 0.0000 0.2755 0.2500
Sm1 Sm 0.0000 0.5000 0.0000
Ag1 Ag 0.1920 0.1416 0.0000
```

Calculated values
- distance to the lowest polymorph of the same formula (eV per formula unit) = 1.32
- E_form (meV/atom) = 64

---

VASP calculation (PBE-GGA) on Ca3VPt after structural relaxation.

The structure in CIF format:
```
data_Ca3VPt
_chemical_formula_sum 'Ca3 V1 Pt1'
_space_group_name_H-M_alt 'P m -3 m'
_space_group_IT_number 221
_space_group_name_Hall '-P 4 2 3'
_cell_length_a 5.4979
_cell_length_b 5.4979
_cell_length_c 5.4979
_cell_angle_alpha 90.00
_cell_angle_beta 90.00
_cell_angle_gamma 90.00
loop_
_atom_site_label
_atom_site_type_symbol
_atom_site_fract_x
_atom_site_fract_y
_atom_site_fract_z
Ca1 Ca 0.0000 0.0000 0.5000
V1 V 0.0000 0.0000 0.0000
Pt1 Pt 0.5000 0.5000 0.5000
```

Calculated values
- distance to the lowest polymorph of the same formula (eV per formula unit) = 3.66
- E_form (meV/atom) = 838

---

| no. | VASP energy (Ry per atom) | volume (Å³/atom) |
| --- | --- | --- |
| 1 | -0.382 | 30.48 |
| 2 | -0.123 | 45.82 |
| 3 | -0.294 | 16.93 |
| 4 | -0.345 | 16.94 |
| 5 | -0.558 | 9.84 |
| 6 | -0.291 | 28.94 |
| 7 | -0.481 | 16.27 |
| 8 | -0.316 | 42.91 |
| 9 | -0.288 | 12.95 |
| 10 | -0.215 | 38.13 |
| 11 | -0.298 | 33.11 |
| 12 | -0.250 | 33.24 |